# SrEuCd (PBE, optimized geometry)
# - Excess energy over the best structure of this formula in the dataset: 0.0 meV per atom
# - Formation energy from the elements: -225 meV per atom
# - Crystal system: tetragonal
# - N(E_F): 20.3 states/eV/cell
data_SrEuCd
_cell_length_a 4.013
_cell_length_b 4.013
_cell_length_c 14.084
_cell_angle_alpha 90.00
_cell_angle_beta 90.00
_cell_angle_gamma 90.00
_symmetry_space_group_name_H-M 'I 4 m m'
_symmetry_Int_Tables_number 107
_symmetry_space_group_name_Hall 'I 4 -2'
loop_
_atom_site_label
_atom_site_type_symbol
_atom_site_fract_x
_atom_site_fract_y
_atom_site_fract_z
_atom_site_occupancy
Sr1 Sr 0.000 0.000 0.000 1
Eu1 Eu 0.000 0.000 0.279 1
Cd1 Cd 0.000 0.000 0.646 1